*1*
{"formula": "Gd2RuI", "functional": "PBE", "state": "relaxed", "lattice_angstrom": [[3.5274, 0.0000, 0.0000], [0.0000, 3.5274, 0.0000], [0.0000, 0.0000, 8.3229]], "species": ["Gd", "Gd", "Ru", "I"], "frac_coords": [[0.0000, 0.0000, 0.1986], [0.0000, 0.0000, 0.8014], [0.5000, 0.5000, 0.0000], [0.5000, 0.5000, 0.5000]], "total_magnetization_mub_per_cell": 13.988}

*2*
{"formula": "Gd2RuI", "functional": "PBE", "state": "relaxed", "lattice_angstrom": [[-0.8838, 3.7789, -1.2597], [-1.4044, 0.6138, -3.7814], [-8.2417, 0.5938, 0.9560]], "species": ["Gd", "Gd", "Ru", "I"], "frac_coords": [[0.7281, 0.7281, 0.8156], [0.2719, 0.2719, 0.1844], [0.0000, 0.0000, 0.0000], [0.5000, 0.5000, 0.5000]], "total_magnetization_mub_per_cell": 14.377}

The data favor *2*; the next most stable structure lies 75 meV/atom above it.